Entry 1:
First-principles (PBE) data for a geometry-optimized K2Ac2US6 structure, as listed in the Alexandria database.

```
K2Ac2US6
1.0
3.765 -6.426 0.000
3.765 6.426 0.000
-2.432 0.000 7.479
K Ac U S
2 2 1 6
direct
0.167 0.833 0.000 K
0.833 0.167 0.000 K
0.335 0.665 0.500 Ac
0.665 0.335 0.500 Ac
0.000 0.000 0.500 U
0.061 0.375 0.699 S
0.236 0.236 0.300 S
0.375 0.061 0.699 S
0.625 0.939 0.301 S
0.764 0.764 0.700 S
0.939 0.625 0.301 S
```

Results
- E_form (uncorrected) (eV per atom) = -1.730
- density (g cm⁻³) = 4.4
- symmetry = C2/m
- final energy (eV per atom) = -5.95
- Fermi-level density of states (states/eV/f.u.) = 7.14

Entry 2:
First-principles (PBE) data for a geometry-optimized Pm2PaGe3Pt4 structure, as listed in the Alexandria database.

```
Pm2PaGe3Pt4
1.0
4.338 0.000 0.000
0.000 4.338 0.000
0.000 0.000 11.118
Pm Pa Ge Pt
2 1 3 4
direct
0.000 0.500 0.218 Pm
0.500 0.000 0.782 Pm
0.000 0.000 0.500 Pa
0.000 0.500 0.878 Ge
0.500 0.000 0.122 Ge
0.500 0.500 0.500 Ge
0.000 0.000 0.000 Pt
0.000 0.500 0.656 Pt
0.500 0.000 0.344 Pt
0.500 0.500 0.000 Pt
```

Results
- density (g cm⁻³) = 12.1
- symmetry = P-4m2
- final energy (eV per atom) = -6.59
- DFT formation energy (eV per atom) = -0.88
- Fermi-level density of states (states/eV/f.u.) = 9.93

Entry 3:
First-principles (PBE) data for a geometry-optimized MgW2N2 structure, as listed in the Alexandria database.

```
MgW2N2
1.0
3.277 0.000 0.000
0.000 3.277 0.000
0.000 0.000 7.194
Mg W N
1 2 2
direct
0.000 0.000 0.000 Mg
0.500 0.500 0.321 W
0.500 0.500 0.679 W
0.000 0.500 0.817 N
0.500 0.000 0.183 N
```

Results
- E_form (uncorrected) (eV per atom) = 0.056
- density (g cm⁻³) = 9.0
- symmetry = P-4m2
- final energy (eV per atom) = -8.77
- Fermi-level density of states (states/eV/f.u.) = 4.20

Entry 4:
First-principles (PBE) data for a geometry-optimized Ni2IrAu structure, as listed in the Alexandria database.

```
Ni2IrAu
1.0
2.756 -3.624 0.000
2.756 3.624 0.000
0.000 0.000 2.728
Ni Ir Au
2 1 1
direct
0.000 0.500 0.000 Ni
0.500 0.000 0.000 Ni
0.000 0.000 0.500 Ir
0.500 0.500 0.500 Au
```

Results
- distance to the lowest polymorph of the same formula (eV/atom) = 0.091
- density (g cm⁻³) = 15.4
- symmetry = Cmmm
- final energy (eV per atom) = -5.76
- DFT formation energy (eV per atom) = 0.16
- Fermi-level density of states (states/eV/f.u.) = 7.06

Entry 5:
First-principles (PBE) data for a geometry-optimized Ga2H6Ru structure, as listed in the Alexandria database.

```
Ga2H6Ru
1.0
0.000 3.290 3.290
3.290 0.000 3.290
3.290 3.290 0.000
Ga H Ru
2 6 1
direct
0.250 0.250 0.250 Ga
0.750 0.750 0.750 Ga
0.237 0.237 0.763 H
0.237 0.763 0.237 H
0.237 0.763 0.763 H
0.763 0.237 0.237 H
0.763 0.237 0.763 H
0.763 0.763 0.237 H
0.500 0.500 0.500 Ru
```

Results
- density (g cm⁻³) = 5.7
- symmetry = Fm-3m
- final energy (eV per atom) = -3.76
- Fermi-level density of states (states/eV/f.u.) = 2.43

Entry 6:
First-principles (PBE) data for a geometry-optimized Co2AgIr structure, as listed in the Alexandria database.

```
Co2AgIr
1.0
2.751 -3.662 0.000
2.751 3.662 0.000
0.000 0.000 2.687
Co Ag Ir
2 1 1
direct
0.000 0.500 0.000 Co
0.500 0.000 0.000 Co
0.000 0.000 0.500 Ag
0.500 0.500 0.500 Ir
```

Results
- density (g cm⁻³) = 12.8
- symmetry = Cmmm
- final energy (eV per atom) = -6.17
- DFT formation energy (eV per atom) = 0.31
- Fermi-level density of states (states/eV/f.u.) = 5.02